(1)
Mg4Ag3Hg: optimized geometry, GGA-PBE.

Energy: -2.14 eV/atom
Energy relative to the elements: -232.7 meV/atom
SG: R-3m (166)

The structure in POSCAR format:
```
Mg4Ag3Hg
1.0
2.372 1.370 7.839
-2.372 1.370 7.839
0.000 -2.739 7.839
Mg Ag Hg
4 3 1
Direct
0.123 0.123 0.123
0.374 0.374 0.374
0.626 0.626 0.626
0.877 0.877 0.877
0.000 0.000 0.000
0.252 0.252 0.252
0.748 0.748 0.748
0.500 0.500 0.500
```

***

(2)
LiCaTh2Au4: optimized geometry, GGA-PBE.

Energy: -4.62 eV/atom
Energy relative to the elements: -635.4 meV/atom
SG: R-3m (166)

The structure in POSCAR format:
```
LiCaTh2Au4
1.0
2.559 1.478 8.310
-2.559 1.478 8.310
0.000 -2.955 8.310
Li Ca Th Au
1 1 2 4
Direct
0.000 0.000 0.000
0.500 0.500 0.500
0.255 0.255 0.255
0.745 0.745 0.745
0.123 0.123 0.123
0.377 0.377 0.377
0.623 0.623 0.623
0.877 0.877 0.877
```

***

Question: Look up the energy of the first one.
Answer: -2.14 eV/atom